## CsCu2PtO (PBE-GGA)

Data for a geometry-optimized CsCu2PtO structure.

Lattice parameters (Å, degrees): 5.343 5.343 5.177 90.00 90.00 90.00
Element x y z (fractional)
Cs  0.000  0.000  0.000
Cu  0.000  0.500  0.000
Cu  0.500  0.000  0.000
Pt  0.000  0.000  0.500
O  0.500  0.500  0.500

Output
Energy relative to the elements, uncorrected   1102 kJ/mol of formula units
Space group   P4/mmm (123)
N(E_F)   5.62 states/eV per cell
Total energy   -1.724 eV per atom
Volume   29.6 Å³ per atom
Total magnetic moment   0.0 μB per cell